Entry 1:
First-principles (PBE) data for a relaxed Y2Zn2Re crystal, as listed in Alexandria.

The structure in POSCAR format:
```
Y2Zn2Re
1.0
6.9601 0.0000 0.0000
0.0000 6.9601 0.0000
0.0000 0.0000 4.2645
Zn Re Y
4 2 4
Direct
0.8735 0.6265 0.0000
0.1265 0.3735 0.0000
0.6265 0.1265 0.0000
0.3735 0.8735 0.0000
0.5000 0.5000 0.0000
0.0000 0.0000 0.0000
0.1883 0.6883 0.5000
0.3117 0.1883 0.5000
0.6883 0.8117 0.5000
0.8117 0.3117 0.5000
```

Properties
calculated density = 7.95 g/cm3
calculated total energy = -5.53 eV/atom
total magnetic moment = 0.0 μB per formula unit
energy of formation = 0.059 eV/atom

---

Entry 2:
First-principles (PBE) data for a relaxed YZn2Re crystal, as listed in Alexandria.

The structure in POSCAR format:
```
YZn2Re
1.0
4.1539 0.0000 0.0000
0.0000 4.1597 0.0000
0.0000 0.0000 4.1398
Y Zn Re
1 2 1
Direct
0.0000 0.5000 0.5000
0.0000 0.0000 0.0000
0.5000 0.5000 0.0000
0.5000 0.0000 0.5000
```

Properties
calculated density = 9.42 g/cm3
calculated total energy = -5.15 eV/atom
total magnetic moment = 0.5 μB per formula unit
energy of formation = 0.212 eV/atom

---

Entry 3:
First-principles (PBE) data for a relaxed YZrRe crystal, as listed in Alexandria.

The structure in POSCAR format:
```
YZrRe
1.0
-1.3298 0.0605 5.6977
0.5147 -4.8869 3.1763
12.5444 1.6627 5.9144
Y Zr Re
6 6 6
Direct
0.2717 0.2717 0.1849
0.8192 0.8192 0.5425
0.9632 0.9632 0.1103
0.7283 0.7283 0.8151
0.0368 0.0368 0.8897
0.1808 0.1808 0.4575
0.7205 0.2309 0.3281
0.2795 0.2795 0.6719
0.2309 0.7205 0.3281
0.7205 0.7205 0.3281
0.2795 0.7691 0.6719
0.7691 0.2795 0.6719
0.5000 0.5000 0.0000
0.3820 0.3820 0.8540
0.6180 0.6180 0.1460
0.5000 0.0000 0.0000
0.0000 0.5000 0.0000
0.5000 0.5000 0.5000
```

Properties
calculated density = 9.08 g/cm3
calculated total energy = -9.10 eV/atom
total magnetic moment = 0.3 μB per formula unit
energy of formation = 0.052 eV/atom

---

Entry 4:
First-principles (PBE) data for a relaxed Y2Zr2Re crystal, as listed in Alexandria.

The structure in POSCAR format:
```
Y2Zr2Re
1.0
3.7412 0.0000 0.0000
0.0000 3.7412 0.0000
1.8706 1.8706 9.5303
Zr Y Re
2 2 1
Direct
0.7500 0.2500 0.5000
0.2500 0.7500 0.5000
0.5827 0.5827 0.8345
0.4173 0.4173 0.1655
0.0000 0.0000 0.0000
```

Properties
calculated density = 6.80 g/cm3
calculated total energy = -7.78 eV/atom
total magnetic moment = 0.0 μB per formula unit
energy of formation = 0.711 eV/atom

---

Entry 5:
First-principles (PBE) data for a relaxed YZrRe crystal, as listed in Alexandria.

The structure in POSCAR format:
```
YZrRe
1.0
6.1426 0.0000 -0.0104
0.0000 4.8792 0.0000
-6.0249 0.0000 8.7748
Zr Y Re
4 4 4
Direct
0.0969 0.0000 0.0289
0.4802 0.0000 0.7498
0.0969 0.5000 0.5289
0.4802 0.5000 0.2498
0.3054 0.0000 0.3981
0.3054 0.5000 0.8981
0.6795 0.5000 0.6151
0.6795 0.0000 0.1151
0.9900 0.5000 0.2140
0.8317 0.5000 0.9408
0.8316 0.0000 0.4408
0.9900 0.0000 0.7140
```

Properties
calculated density = 9.26 g/cm3
calculated total energy = -9.10 eV/atom
total magnetic moment = 0.0 μB per formula unit
energy of formation = 0.053 eV/atom

---

Entry 6:
First-principles (PBE) data for a relaxed YZrRe crystal, as listed in Alexandria.

The structure in POSCAR format:
```
YZrRe
1.0
6.5829 -0.1174 0.0850
5.7679 3.0972 0.7019
0.8150 -0.4168 3.2466
Zr Y Re
1 1 1
Direct
0.6260 0.6260 0.3740
0.3623 0.3623 0.6377
0.0116 0.0116 0.9884
```

Properties
calculated density = 8.71 g/cm3
calculated total energy = -9.16 eV/atom
total magnetic moment = 0.0 μB per formula unit
energy of formation = -0.006 eV/atom

---

Entry 7:
First-principles (PBE) data for a relaxed YZrRe crystal, as listed in Alexandria.

The structure in POSCAR format:
```
YZrRe
1.0
-4.3912 -0.4543 -5.1059
1.5745 -5.6505 -0.8514
-1.0261 -1.6193 8.8496
Zr Re Y
4 4 4
Direct
0.6454 0.5000 0.8268
0.3546 0.0000 0.6732
0.6454 0.0000 0.3268
0.3546 0.5000 0.1732
0.5000 0.2430 0.0000
0.5000 0.7430 0.5000
0.5000 0.7570 0.0000
0.5000 0.2570 0.5000
0.0076 0.5000 0.6813
0.0076 0.0000 0.1813
0.9924 0.0000 0.8187
0.9924 0.5000 0.3187
```

Properties
calculated density = 8.87 g/cm3
calculated total energy = -9.14 eV/atom
total magnetic moment = 0.0 μB per formula unit
energy of formation = 0.009 eV/atom

---

Entry 8:
First-principles (PBE) data for a relaxed YZrRe crystal, as listed in Alexandria.

The structure in POSCAR format:
```
YZrRe
1.0
4.6807 0.0000 0.0000
2.3403 4.0536 0.0000
2.3403 1.3512 3.8218
Zr Re Y
1 1 1
Direct
0.5000 0.5000 0.5000
0.7500 0.7500 0.7500
0.0000 0.0000 0.0000
```

Properties
calculated density = 8.39 g/cm3
calculated total energy = -8.92 eV/atom
total magnetic moment = 0.0 μB per formula unit
energy of formation = 0.232 eV/atom

---

Entry 9:
First-principles (PBE) data for a relaxed YZrRe crystal, as listed in Alexandria.

The structure in POSCAR format:
```
YZrRe
1.0
-2.3375 -1.2842 3.9502
0.5625 -3.1217 -3.5575
2.7407 -0.9882 1.3005
Y Re Zr
1 1 1
Direct
0.6667 0.3333 0.3105
0.0000 0.0000 0.9642
0.3333 0.6667 0.7253
```

Properties
calculated density = 9.69 g/cm3
calculated total energy = -9.00 eV/atom
total magnetic moment = 0.0 μB per formula unit
energy of formation = 0.156 eV/atom

---

Entry 10:
First-principles (PBE) data for a relaxed Y2Zr2Re crystal, as listed in Alexandria.

The structure in POSCAR format:
```
Y2Zr2Re
1.0
6.8817 0.0000 0.0000
0.0000 6.8817 0.0000
0.0000 0.0000 5.3106
Y Re Zr
4 2 4
Direct
0.6734 0.8266 0.5000
0.1734 0.6734 0.5000
0.3266 0.1734 0.5000
0.8266 0.3266 0.5000
0.5000 0.5000 0.0000
0.0000 0.0000 0.0000
0.6495 0.1495 0.0000
0.8505 0.6495 0.0000
0.3505 0.8505 0.0000
0.1495 0.3505 0.0000
```

Properties
calculated density = 7.22 g/cm3
calculated total energy = -8.34 eV/atom
total magnetic moment = 0.0 μB per formula unit
energy of formation = 0.152 eV/atom

---

Entry 11:
First-principles (PBE) data for a relaxed YZrRe crystal, as listed in Alexandria.

The structure in POSCAR format:
```
YZrRe
1.0
3.3067 0.0000 0.0000
-1.6533 2.8637 0.0000
0.0000 0.0000 7.1853
Re Zr Y
1 1 1
Direct
0.0000 0.0000 0.9846
0.3333 0.6667 0.7176
0.6667 0.3333 0.2979
```

Properties
calculated density = 8.94 g/cm3
calculated total energy = -8.85 eV/atom
total magnetic moment = 0.0 μB per formula unit
energy of formation = 0.302 eV/atom

---

Entry 12:
First-principles (PBE) data for a relaxed YZrRe crystal, as listed in Alexandria.

The structure in POSCAR format:
```
YZrRe
1.0
-2.6020 -4.6071 -1.3742
3.8798 -3.2491 3.5467
-4.8177 0.9024 6.0968
Zr Y Re
4 4 4
Direct
0.5000 0.0000 0.0000
0.5000 0.5000 0.0000
0.0000 0.5000 0.5000
0.0000 0.0000 0.5000
0.5000 0.2500 0.6140
0.0000 0.7500 0.1140
0.0000 0.2500 0.8860
0.5000 0.7500 0.3860
0.2500 0.2500 0.2500
0.2500 0.7500 0.7500
0.7500 0.2500 0.2500
0.7500 0.7500 0.7500
```

Properties
calculated density = 9.21 g/cm3
calculated total energy = -9.18 eV/atom
total magnetic moment = 0.0 μB per formula unit
energy of formation = -0.023 eV/atom

---

Entry 13:
First-principles (PBE) data for a relaxed Y2ZrRe2 crystal, as listed in Alexandria.

The structure in POSCAR format:
```
Y2ZrRe2
1.0
6.9848 0.0000 0.0000
0.0000 6.9848 0.0000
0.0000 0.0000 4.6940
Y Zr Re
4 2 4
Direct
0.8258 0.3258 0.5000
0.6742 0.8258 0.5000
0.1742 0.6742 0.5000
0.3258 0.1742 0.5000
0.5000 0.5000 0.0000
0.0000 0.0000 0.0000
0.8777 0.6223 0.0000
0.3777 0.8777 0.0000
0.6223 0.1223 0.0000
0.1223 0.3777 0.0000
```

Properties
calculated density = 9.30 g/cm3
calculated total energy = -9.17 eV/atom
total magnetic moment = 0.0 μB per formula unit
energy of formation = 0.107 eV/atom

---

Entry 14:
First-principles (PBE) data for a relaxed YZrRe crystal, as listed in Alexandria.

The structure in POSCAR format:
```
YZrRe
1.0
-0.8207 1.0174 -6.0279
2.3077 -4.1257 -1.0105
-6.8709 -5.3251 6.0501
Zr Y Re
4 4 4
Direct
0.3314 0.5000 0.0390
0.1380 0.5000 0.6790
0.1380 0.0000 0.1790
0.3314 0.0000 0.5390
0.7179 0.0000 0.2626
0.5255 0.0000 0.8993
0.5255 0.5000 0.3993
0.7179 0.5000 0.7626
0.8702 0.5000 0.1031
0.8702 0.0000 0.6031
0.0333 0.5000 0.3797
0.0333 0.0000 0.8797
```

Properties
calculated density = 9.26 g/cm3
calculated total energy = -9.11 eV/atom
total magnetic moment = 0.0 μB per formula unit
energy of formation = 0.040 eV/atom

---

Entry 15:
First-principles (PBE) data for a relaxed YZrRe crystal, as listed in Alexandria.

The structure in POSCAR format:
```
YZrRe
1.0
-4.3192 0.1361 2.8391
0.6046 -2.2433 4.6192
1.3800 3.8357 -3.1808
Re Y Zr
1 1 1
Direct
0.9971 0.9971 0.0000
0.3355 0.3355 0.0000
0.6674 0.6674 0.0000
```

Properties
calculated density = 9.78 g/cm3
calculated total energy = -8.81 eV/atom
total magnetic moment = 0.0 μB per formula unit
energy of formation = 0.342 eV/atom

---

Entry 16:
First-principles (PBE) data for a relaxed YZrRe4 crystal, as listed in Alexandria.

The structure in POSCAR format:
```
YZrRe4
1.0
5.3653 0.0000 0.0000
2.6827 4.6465 0.0000
2.6827 1.5488 4.3808
Re Zr Y
4 1 1
Direct
0.6253 0.6253 0.1242
0.6253 0.6253 0.6253
0.1242 0.6253 0.6253
0.6253 0.1242 0.6253
0.0000 0.0000 0.0000
0.2500 0.2500 0.2500
```

Properties
calculated density = 14.06 g/cm3
calculated total energy = -11.04 eV/atom
total magnetic moment = 0.0 μB per formula unit
energy of formation = -0.237 eV/atom

---

Entry 17:
First-principles (PBE) data for a relaxed Y2Zr2Re crystal, as listed in Alexandria.

The structure in POSCAR format:
```
Y2Zr2Re
1.0
-3.8401 -5.8360 0.3028
4.6984 -2.8678 4.3125
-2.5368 1.8774 4.0123
Y Zr Re
4 4 2
Direct
0.3494 0.8494 0.0000
0.8494 0.6506 0.0000
0.6506 0.1506 0.0000
0.1506 0.3494 0.0000
0.8364 0.3364 0.5000
0.1636 0.6636 0.5000
0.6636 0.8364 0.5000
0.3364 0.1636 0.5000
0.0000 0.0000 0.0000
0.5000 0.5000 0.0000
```

Properties
calculated density = 7.27 g/cm3
calculated total energy = -7.83 eV/atom
total magnetic moment = 0.0 μB per formula unit
energy of formation = 0.662 eV/atom

---

Entry 18:
First-principles (PBE) data for a relaxed YbRe6 crystal, as listed in Alexandria.

The structure in POSCAR format:
```
YbRe6
1.0
5.9973 0.0000 0.0000
-1.9991 5.6543 0.0000
-1.9991 -2.8272 4.8968
Re Yb
6 1
Direct
0.7500 0.5000 0.2500
0.7500 0.2500 0.5000
0.2500 0.5000 0.7500
0.2500 0.7500 0.5000
0.5000 0.7500 0.2500
0.5000 0.2500 0.7500
0.0000 0.0000 0.0000
```

Properties
calculated density = 12.90 g/cm3
calculated total energy = -9.85 eV/atom
total magnetic moment = 0.3 μB per formula unit
energy of formation = 1.039 eV/atom

---

Entry 19:
First-principles (PBE) data for a relaxed Zn3Re crystal, as listed in Alexandria.

The structure in POSCAR format:
```
Zn3Re
1.0
-3.7715 0.4056 -0.6035
-0.6866 -3.0360 2.2504
-0.2394 2.3176 3.0536
Zn Re
3 1
Direct
0.5000 0.5000 0.0000
0.5000 0.0000 0.5000
0.0000 0.5000 0.5000
0.0000 0.0000 0.0000
```

Properties
calculated density = 11.21 g/cm3
calculated total energy = -3.90 eV/atom
total magnetic moment = 0.8 μB per formula unit
energy of formation = 0.170 eV/atom

---

Entry 20:
First-principles (PBE) data for a relaxed ZnRe2 crystal, as listed in Alexandria.

The structure in POSCAR format:
```
ZnRe2
1.0
-4.0277 2.4295 3.5103
-4.2428 -2.8123 -2.9218
0.4726 -4.5427 3.6862
Re Zn
8 4
Direct
0.8844 0.1156 0.6156
0.3844 0.3844 0.3844
0.8844 0.3844 0.1156
0.6156 0.8844 0.1156
0.1156 0.8844 0.3844
0.6156 0.6156 0.6156
0.1156 0.6156 0.8844
0.3844 0.1156 0.8844
0.0000 0.0000 0.0000
0.0000 0.5000 0.5000
0.5000 0.0000 0.5000
0.5000 0.5000 0.0000
```

Properties
calculated density = 14.38 g/cm3
calculated total energy = -7.31 eV/atom
total magnetic moment = 0.0 μB per formula unit
energy of formation = 1.411 eV/atom